Ac3FeO7 | Alexandria | PBE with a Hubbard U | relaxed; DFT total energy = -7.35 eV per atom; size of the total moment = 3.086 μB/f.u.; symmetry = Cmcm, No. 63; volume = 347.2 Å³/cell
1.0
-1.970 6.545 1.109
-4.726 -4.724 1.814
3.104 -0.303 7.297
Ac Fe O
6 2 14
direct
0.123 0.544 0.750
0.000 0.000 0.000
0.000 0.000 0.500
0.456 0.877 0.250
0.544 0.123 0.750
0.877 0.456 0.250
0.500 0.500 0.000
0.500 0.500 0.500
0.093 0.833 0.250
0.167 0.907 0.750
0.205 0.443 0.462
0.205 0.443 0.038
0.557 0.795 0.962
0.557 0.795 0.538
0.426 0.426 0.750
0.574 0.574 0.250
0.443 0.205 0.038
0.443 0.205 0.462
0.795 0.557 0.962
0.795 0.557 0.538
0.833 0.093 0.250
0.907 0.167 0.750